[1]
Here is PmGaO3 after structural relaxation from Alexandria via LeMat-Bulk. Energies are from PBE-GGA.

```
data_PmGaO3
_chemical_formula_sum 'Pm8 Ga8 O24'
_space_group_name_H-M_alt 'C 1 2/c 1'
_space_group_IT_number 15
_cell_length_a 10.599
_cell_length_b 9.609
_cell_length_c 5.827
_cell_angle_alpha 90.00
_cell_angle_beta 102.95
_cell_angle_gamma 90.00
loop_
_space_group_symop_operation_xyz
'x,y,z'
'-x,-y,-z'
'-x,y,-z+1/2'
'x,-y,z+1/2'
'x+1/2,y+1/2,z'
'-x+1/2,-y+1/2,-z'
'-x+1/2,y+1/2,-z+1/2'
'x+1/2,-y+1/2,z+1/2'
loop_
_atom_site_label
_atom_site_type_symbol
_atom_site_fract_x
_atom_site_fract_y
_atom_site_fract_z
Pm1 Pm 0.000 0.098 0.250
Pm2 Pm 0.000 0.328 0.750
Ga1 Ga 0.210 0.404 0.266
O1 O 0.112 0.109 0.645
O2 O 0.123 0.254 0.114
O3 O 0.141 0.457 0.531
```

Properties
Raw formation energy (eV per atom): -2.64

[2]
Here is Pm3Ga5O12 after structural relaxation from Alexandria via LeMat-Bulk. Energies are from PBE-GGA.

```
data_Pm3Ga5O12
_chemical_formula_sum 'Pm24 Ga40 O96'
_space_group_name_H-M_alt 'I a -3 d'
_space_group_IT_number 230
_space_group_name_Hall '-I 4bd 2c 3'
_cell_length_a 12.599
_cell_length_b 12.599
_cell_length_c 12.599
_cell_angle_alpha 90.00
_cell_angle_beta 90.00
_cell_angle_gamma 90.00
loop_
_atom_site_label
_atom_site_type_symbol
_atom_site_fract_x
_atom_site_fract_y
_atom_site_fract_z
Pm1 Pm 0.000 0.250 0.125
Ga1 Ga 0.000 0.000 0.000
Ga2 Ga 0.000 0.250 0.375
O1 O 0.029 0.053 0.649
```

Properties
Raw formation energy (eV per atom): -2.51

[3]
Here is Pm2GaO after structural relaxation from Alexandria via LeMat-Bulk. Energies are from PBE-GGA.

```
data_Pm2GaO
_chemical_formula_sum 'Pm2 Ga1 O1'
_space_group_name_H-M_alt 'P 4/m m m'
_space_group_IT_number 123
_space_group_name_Hall '-P 4 2'
_cell_length_a 3.177
_cell_length_b 3.177
_cell_length_c 7.604
_cell_angle_alpha 90.00
_cell_angle_beta 90.00
_cell_angle_gamma 90.00
loop_
_atom_site_label
_atom_site_type_symbol
_atom_site_fract_x
_atom_site_fract_y
_atom_site_fract_z
Pm1 Pm 0.000 0.000 0.209
Ga1 Ga 0.500 0.500 0.500
O1 O 0.500 0.500 0.000
```

Properties
Offset from the most stable computed form (eV/f.u.): 1.370
Raw formation energy (eV per atom): -1.24

[4]
Here is Pm2GaO after structural relaxation from Alexandria via LeMat-Bulk. Energies are from PBE-GGA.

```
data_Pm2GaO
_chemical_formula_sum 'Pm6 Ga3 O3'
_space_group_name_H-M_alt 'R -3 m'
_space_group_IT_number 166
_space_group_name_Hall '-R 3 2"'
_cell_length_a 3.6850
_cell_length_b 3.6850
_cell_length_c 21.7662
_cell_angle_alpha 90.00
_cell_angle_beta 90.00
_cell_angle_gamma 120.00
loop_
_atom_site_label
_atom_site_type_symbol
_atom_site_fract_x
_atom_site_fract_y
_atom_site_fract_z
Pm1 Pm 0.0000 0.0000 0.2310
Ga1 Ga 0.0000 0.0000 0.0000
O1 O 0.0000 0.0000 0.5000
```

Properties
Offset from the most stable computed form (eV/f.u.): 0.000
Raw formation energy (eV per atom): -1.58

[5]
Here is Pm5Ga2O2 after structural relaxation from Alexandria via LeMat-Bulk. Energies are from PBE-GGA.

```
data_Pm5Ga2O2
_chemical_formula_sum 'Pm20 Ga8 O8'
_space_group_name_H-M_alt 'I m m a'
_space_group_IT_number 74
_space_group_name_Hall '-I 2b 2'
_cell_length_a 6.891
_cell_length_b 18.812
_cell_length_c 6.801
_cell_angle_alpha 90.00
_cell_angle_beta 90.00
_cell_angle_gamma 90.00
loop_
_atom_site_label
_atom_site_type_symbol
_atom_site_fract_x
_atom_site_fract_y
_atom_site_fract_z
Pm1 Pm 0.000 0.138 0.099
Pm2 Pm 0.250 0.021 0.750
Pm3 Pm 0.250 0.250 0.750
Ga1 Ga 0.000 0.129 0.539
O1 O 0.000 0.000 0.000
O2 O 0.000 0.250 0.988
```

Properties
Raw formation energy (eV per atom): -1.46

[6]
Here is PmGaO3 after structural relaxation from Alexandria via LeMat-Bulk. Energies are from PBE-GGA.

```
data_PmGaO3
_chemical_formula_sum 'Pm4 Ga4 O12'
_space_group_name_H-M_alt 'P 1 21/c 1'
_space_group_IT_number 14
_cell_length_a 6.528
_cell_length_b 5.848
_cell_length_c 9.220
_cell_angle_alpha 90.00
_cell_angle_beta 121.73
_cell_angle_gamma 90.00
loop_
_space_group_symop_operation_xyz
'x,y,z'
'-x,-y,-z'
'-x,y+1/2,-z+1/2'
'x,-y+1/2,z+1/2'
loop_
_atom_site_label
_atom_site_type_symbol
_atom_site_fract_x
_atom_site_fract_y
_atom_site_fract_z
Pm1 Pm 0.127 0.153 0.225
Ga1 Ga 0.310 0.675 0.139
O1 O 0.012 0.706 0.590
O2 O 0.231 0.648 0.917
O3 O 0.437 0.100 0.763
```

Properties
Raw formation energy (eV per atom): -2.48

[7]
Here is PmGaO after structural relaxation from Alexandria via LeMat-Bulk. Energies are from PBE-GGA.

```
data_PmGaO
_chemical_formula_sum 'Pm4 Ga4 O4'
_space_group_name_H-M_alt 'C 1 2/m 1'
_space_group_IT_number 12
_cell_length_a 5.613
_cell_length_b 5.613
_cell_length_c 7.951
_cell_angle_alpha 90.00
_cell_angle_beta 90.18
_cell_angle_gamma 90.00
loop_
_space_group_symop_operation_xyz
'x,y,z'
'-x,-y,-z'
'-x,y,-z'
'x,-y,z'
'x+1/2,y+1/2,z'
'-x+1/2,-y+1/2,-z'
'-x+1/2,y+1/2,-z'
'x+1/2,-y+1/2,z'
loop_
_atom_site_label
_atom_site_type_symbol
_atom_site_fract_x
_atom_site_fract_y
_atom_site_fract_z
Pm1 Pm 0.249 0.000 0.354
Ga1 Ga 0.249 0.500 0.056
O1 O 0.000 0.250 0.500
```

Properties
Offset from the most stable computed form (eV/f.u.): 0.000
Raw formation energy (eV per atom): -2.00

[8]
Here is Pm2GaO after structural relaxation from Alexandria via LeMat-Bulk. Energies are from PBE-GGA.

```
data_Pm2GaO
_chemical_formula_sum 'Pm4 Ga2 O2'
_space_group_name_H-M_alt 'A m m 2'
_space_group_IT_number 38
_cell_length_a 3.482
_cell_length_b 3.384
_cell_length_c 14.958
_cell_angle_alpha 90.00
_cell_angle_beta 90.00
_cell_angle_gamma 90.00
loop_
_space_group_symop_operation_xyz
'x,y,z'
'-x,-y,z'
'-x,y,z'
'x,-y,z'
'x,y+1/2,z+1/2'
'-x,-y+1/2,z+1/2'
'-x,y+1/2,z+1/2'
'x,-y+1/2,z+1/2'
loop_
_atom_site_label
_atom_site_type_symbol
_atom_site_fract_x
_atom_site_fract_y
_atom_site_fract_z
Pm1 Pm 0.000 0.000 0.000
Pm2 Pm 0.500 0.000 0.303
Ga1 Ga 0.500 0.000 0.627
O1 O 0.000 0.000 0.841
```

Properties
Offset from the most stable computed form (eV/f.u.): 0.424
Raw formation energy (eV per atom): -1.47

[9]
Here is Pm4GaO after structural relaxation from Alexandria via LeMat-Bulk. Energies are from PBE-GGA.

```
data_Pm4GaO
_chemical_formula_sum 'Pm16 Ga4 O4'
_space_group_name_H-M_alt 'C m c 21'
_space_group_IT_number 36
_cell_length_a 5.073
_cell_length_b 17.896
_cell_length_c 6.721
_cell_angle_alpha 90.00
_cell_angle_beta 90.00
_cell_angle_gamma 90.00
loop_
_space_group_symop_operation_xyz
'x,y,z'
'-x,-y,z+1/2'
'-x,y,z'
'x,-y,z+1/2'
'x+1/2,y+1/2,z'
'-x+1/2,-y+1/2,z+1/2'
'-x+1/2,y+1/2,z'
'x+1/2,-y+1/2,z+1/2'
loop_
_atom_site_label
_atom_site_type_symbol
_atom_site_fract_x
_atom_site_fract_y
_atom_site_fract_z
Pm1 Pm 0.000 0.027 0.000
Pm2 Pm 0.000 0.165 0.367
Pm3 Pm 0.000 0.211 0.876
Pm4 Pm 0.000 0.410 0.163
Ga1 Ga 0.000 0.372 0.620
O1 O 0.000 0.092 0.672
```

Properties
Raw formation energy (eV per atom): -1.03

[10]
Here is Pm3GaO after structural relaxation from Alexandria via LeMat-Bulk. Energies are from PBE-GGA.

```
data_Pm3GaO
_chemical_formula_sum 'Pm3 Ga1 O1'
_space_group_name_H-M_alt 'P m -3 m'
_space_group_IT_number 221
_space_group_name_Hall '-P 4 2 3'
_cell_length_a 4.866
_cell_length_b 4.866
_cell_length_c 4.866
_cell_angle_alpha 90.00
_cell_angle_beta 90.00
_cell_angle_gamma 90.00
loop_
_atom_site_label
_atom_site_type_symbol
_atom_site_fract_x
_atom_site_fract_y
_atom_site_fract_z
Pm1 Pm 0.000 0.000 0.500
Ga1 Ga 0.500 0.500 0.500
O1 O 0.000 0.000 0.000
```

Properties
Raw formation energy (eV per atom): -1.39

[11]
Here is Pm6Ga3O2 after structural relaxation from Alexandria via LeMat-Bulk. Energies are from PBE-GGA.

```
data_Pm6Ga3O2
_chemical_formula_sum 'Pm12 Ga6 O4'
_space_group_name_H-M_alt 'I 4/m m m'
_space_group_IT_number 139
_space_group_name_Hall '-I 4 2'
_cell_length_a 4.788
_cell_length_b 4.788
_cell_length_c 23.783
_cell_angle_alpha 90.00
_cell_angle_beta 90.00
_cell_angle_gamma 90.00
loop_
_atom_site_label
_atom_site_type_symbol
_atom_site_fract_x
_atom_site_fract_y
_atom_site_fract_z
Pm1 Pm 0.000 0.000 0.202
Pm2 Pm 0.000 0.500 0.083
Ga1 Ga 0.000 0.000 0.330
Ga2 Ga 0.000 0.000 0.500
O1 O 0.000 0.000 0.102
```

Properties
Raw formation energy (eV per atom): -1.31

[12]
Here is PmGaO after structural relaxation from Alexandria via LeMat-Bulk. Energies are from PBE-GGA.

```
data_PmGaO
_chemical_formula_sum 'Pm2 Ga2 O2'
_space_group_name_H-M_alt 'P 4/n m m'
_space_group_IT_number 129
_cell_length_a 3.404
_cell_length_b 3.404
_cell_length_c 9.158
_cell_angle_alpha 90.00
_cell_angle_beta 90.00
_cell_angle_gamma 90.00
loop_
_space_group_symop_operation_xyz
'x,y,z'
'-x,-y,-z'
'-y+1/2,x,z'
'y+1/2,-x,-z'
'-x+1/2,-y+1/2,z'
'x+1/2,y+1/2,-z'
'y,-x+1/2,z'
'-y,x+1/2,-z'
'x+1/2,-y,-z'
'-x+1/2,y,z'
'-y,-x,-z'
'y,x,z'
'-x,y+1/2,-z'
'x,-y+1/2,z'
'y+1/2,x+1/2,-z'
'-y+1/2,-x+1/2,z'
loop_
_atom_site_label
_atom_site_type_symbol
_atom_site_fract_x
_atom_site_fract_y
_atom_site_fract_z
Pm1 Pm 0.250 0.250 0.161
Ga1 Ga 0.250 0.250 0.571
O1 O 0.250 0.250 0.901
```

Properties
Offset from the most stable computed form (eV/f.u.): 0.315
Raw formation energy (eV per atom): -1.89

[13]
Here is PmGaO3 after structural relaxation from Alexandria via LeMat-Bulk. Energies are from PBE-GGA.

```
data_PmGaO3
_chemical_formula_sum 'Pm1 Ga1 O3'
_space_group_name_H-M_alt 'P m -3 m'
_space_group_IT_number 221
_space_group_name_Hall '-P 4 2 3'
_cell_length_a 3.870
_cell_length_b 3.870
_cell_length_c 3.870
_cell_angle_alpha 90.00
_cell_angle_beta 90.00
_cell_angle_gamma 90.00
loop_
_atom_site_label
_atom_site_type_symbol
_atom_site_fract_x
_atom_site_fract_y
_atom_site_fract_z
Pm1 Pm 0.000 0.000 0.000
Ga1 Ga 0.500 0.500 0.500
O1 O 0.000 0.500 0.500
```

Properties
Raw formation energy (eV per atom): -2.51

[14]
Here is Pm7Ga3O2 after structural relaxation from Alexandria via LeMat-Bulk. Energies are from PBE-GGA.

```
data_Pm7Ga3O2
_chemical_formula_sum 'Pm14 Ga6 O4'
_space_group_name_H-M_alt 'I 4/m m m'
_space_group_IT_number 139
_space_group_name_Hall '-I 4 2'
_cell_length_a 4.806
_cell_length_b 4.806
_cell_length_c 25.294
_cell_angle_alpha 90.00
_cell_angle_beta 90.00
_cell_angle_gamma 90.00
loop_
_atom_site_label
_atom_site_type_symbol
_atom_site_fract_x
_atom_site_fract_y
_atom_site_fract_z
Pm1 Pm 0.000 0.000 0.000
Pm2 Pm 0.000 0.000 0.203
Pm3 Pm 0.000 0.500 0.097
Ga1 Ga 0.000 0.000 0.323
Ga2 Ga 0.000 0.000 0.500
O1 O 0.000 0.000 0.100
```

Properties
Raw formation energy (eV per atom): -1.23

[15]
Here is Pm4Ga2O after structural relaxation from Alexandria via LeMat-Bulk. Energies are from PBE-GGA.

```
data_Pm4Ga2O
_chemical_formula_sum 'Pm8 Ga4 O2'
_space_group_name_H-M_alt 'I 4/m m m'
_space_group_IT_number 139
_space_group_name_Hall '-I 4 2'
_cell_length_a 4.720
_cell_length_b 4.720
_cell_length_c 16.003
_cell_angle_alpha 90.00
_cell_angle_beta 90.00
_cell_angle_gamma 90.00
loop_
_atom_site_label
_atom_site_type_symbol
_atom_site_fract_x
_atom_site_fract_y
_atom_site_fract_z
Pm1 Pm 0.000 0.000 0.176
Pm2 Pm 0.000 0.500 0.000
Ga1 Ga 0.000 0.000 0.365
O1 O 0.000 0.000 0.000
```

Properties
Offset from the most stable computed form (eV/f.u.): 0.000
Raw formation energy (eV per atom): -1.10

[16]
Here is PmPr2GaO after structural relaxation from Alexandria via LeMat-Bulk. Energies are from PBE-GGA.

```
data_PmPr2GaO
_chemical_formula_sum 'Pm1 Pr2 Ga1 O1'
_space_group_name_H-M_alt 'P 4/m m m'
_space_group_IT_number 123
_space_group_name_Hall '-P 4 2'
_cell_length_a 4.965
_cell_length_b 4.965
_cell_length_c 4.857
_cell_angle_alpha 90.00
_cell_angle_beta 90.00
_cell_angle_gamma 90.00
loop_
_atom_site_label
_atom_site_type_symbol
_atom_site_fract_x
_atom_site_fract_y
_atom_site_fract_z
Pm1 Pm 0.000 0.000 0.000
Pr1 Pr 0.000 0.500 0.500
Ga1 Ga 0.500 0.500 0.000
O1 O 0.000 0.000 0.500
```

Properties
Raw formation energy (eV per atom): -1.36

[17]
Here is Pm2GaPtO6 after structural relaxation from Alexandria via LeMat-Bulk. Energies are from PBE-GGA.

```
data_Pm2GaPtO6
_chemical_formula_sum 'Pm2 Ga1 Pt1 O6'
_space_group_name_H-M_alt 'P -1'
_space_group_IT_number 2
_cell_length_a 5.396
_cell_length_b 5.483
_cell_length_c 5.733
_cell_angle_alpha 117.06
_cell_angle_beta 118.01
_cell_angle_gamma 90.04
loop_
_space_group_symop_operation_xyz
'x,y,z'
'-x,-y,-z'
loop_
_atom_site_label
_atom_site_type_symbol
_atom_site_fract_x
_atom_site_fract_y
_atom_site_fract_z
Pm1 Pm 0.250 0.229 0.498
Ga1 Ga 0.500 0.000 0.000
Pt1 Pt 0.000 0.500 0.000
O1 O 0.174 0.173 0.851
O2 O 0.283 0.675 0.566
O3 O 0.323 0.827 0.149
```

Properties
Raw formation energy (eV per atom): -2.19

[18]
Here is Rb4Pm3GaO8 after structural relaxation from Alexandria via LeMat-Bulk. Energies are from PBE-GGA.

```
data_Rb4Pm3GaO8
_chemical_formula_sum 'Rb8 Pm6 Ga2 O16'
_space_group_name_H-M_alt 'C 1 2/m 1'
_space_group_IT_number 12
_cell_length_a 12.515
_cell_length_b 6.971
_cell_length_c 7.704
_cell_angle_alpha 90.00
_cell_angle_beta 121.10
_cell_angle_gamma 90.00
loop_
_space_group_symop_operation_xyz
'x,y,z'
'-x,-y,-z'
'-x,y,-z'
'x,-y,z'
'x+1/2,y+1/2,z'
'-x+1/2,-y+1/2,-z'
'-x+1/2,y+1/2,-z'
'x+1/2,-y+1/2,z'
loop_
_atom_site_label
_atom_site_type_symbol
_atom_site_fract_x
_atom_site_fract_y
_atom_site_fract_z
Rb1 Rb 0.000 0.000 0.000
Rb2 Rb 0.000 0.500 0.000
Rb3 Rb 0.250 0.250 0.000
Pm1 Pm 0.000 0.000 0.500
Pm2 Pm 0.250 0.250 0.500
Ga1 Ga 0.000 0.500 0.500
O1 O 0.023 0.284 0.339
O2 O 0.221 0.000 0.680
O3 O 0.248 0.000 0.295
```

Properties
Raw formation energy (eV per atom): -2.25

[19]
Here is Rb2PmGaO4 after structural relaxation from Alexandria via LeMat-Bulk. Energies are from PBE-GGA.

```
data_Rb2PmGaO4
_chemical_formula_sum 'Rb4 Pm2 Ga2 O8'
_space_group_name_H-M_alt 'I -4'
_space_group_IT_number 82
_cell_length_a 6.101
_cell_length_b 6.101
_cell_length_c 8.809
_cell_angle_alpha 90.00
_cell_angle_beta 90.00
_cell_angle_gamma 90.00
loop_
_space_group_symop_operation_xyz
'x,y,z'
'y,-x,-z'
'-x,-y,z'
'-y,x,-z'
'x+1/2,y+1/2,z+1/2'
'y+1/2,-x+1/2,-z+1/2'
'-x+1/2,-y+1/2,z+1/2'
'-y+1/2,x+1/2,-z+1/2'
loop_
_atom_site_label
_atom_site_type_symbol
_atom_site_fract_x
_atom_site_fract_y
_atom_site_fract_z
Rb1 Rb 0.000 0.000 0.000
Rb2 Rb 0.000 0.500 0.250
Pm1 Pm 0.000 0.000 0.500
Ga1 Ga 0.000 0.500 0.750
O1 O 0.134 0.277 0.635
```

Properties
Raw formation energy (eV per atom): -2.15